Record 1
DFT (PBE) results for a relaxed structure of PmMg6Ag4.

```
PmMg6Ag4
1.0
4.3332 0.0000 0.0000
0.0000 6.8938 -3.9802
0.0000 0.0000 7.9603
Mg Ag Pm
6 4 1
direct
0.0000 0.5336 0.4664
0.0000 0.9328 0.4664
0.5000 0.1997 0.3995
0.5000 0.6005 0.8003
0.0000 0.5336 0.0672
0.5000 0.1997 0.8003
0.5000 0.3989 0.1995
0.5000 0.8005 0.1995
0.5000 0.8005 0.6011
0.0000 0.3333 0.6667
0.0000 0.0000 0.0000
```

Results
* magnetization: 0.00 μB/cell
* space group: No. 187
* E: -2.531 eV per atom
* ΔE_f: -0.19 eV per atom

=====

Record 2
DFT (PBE) results for a relaxed structure of Pm2Mg12Ag7.

```
Pm2Mg12Ag7
1.0
3.7480 0.0000 0.0000
0.0000 10.2954 -5.9441
0.0000 0.0000 11.8882
Ag Mg Pm
7 12 2
direct
0.0000 0.0456 0.7999
0.0000 0.7543 0.9544
0.5000 0.6262 0.5320
0.5000 0.4680 0.0942
0.0000 0.3333 0.6667
0.5000 0.9058 0.3738
0.0000 0.2001 0.2457
0.5000 0.2400 0.8033
0.5000 0.1967 0.4367
0.5000 0.8911 0.6081
0.0000 0.0652 0.5575
0.5000 0.3919 0.2830
0.5000 0.5633 0.7600
0.0000 0.2712 0.0421
0.0000 0.4425 0.5078
0.0000 0.7709 0.7288
0.5000 0.7170 0.1089
0.0000 0.9579 0.2291
0.0000 0.4922 0.9348
0.5000 0.0000 0.0000
0.0000 0.6667 0.3333
```

Results
* magnetization: 0.00 μB/cell
* space group: No. 174
* E: -2.509 eV per atom
* ΔE_f: -0.20 eV per atom

=====

Record 3
DFT (PBE) results for a relaxed structure of Pm3Mg4Ag4.

```
Pm3Mg4Ag4
1.0
4.3684 0.0000 0.0000
0.0000 8.0677 0.0000
-2.1842 -4.0339 7.5549
Ag Pm Mg
4 3 4
direct
0.7748 0.2748 0.5495
0.5000 0.8098 0.0000
0.5000 0.1902 0.0000
0.2252 0.7252 0.4505
0.0000 0.5000 0.0000
0.8824 0.8824 0.7648
0.1176 0.1176 0.2352
0.3260 0.1342 0.6519
0.6740 0.8658 0.3481
0.3260 0.5177 0.6519
0.6740 0.4823 0.3481
```

Results
* magnetization: 0.00 μB/cell
* space group: No. 71
* E: -3.131 eV per atom
* ΔE_f: -0.22 eV per atom

=====

The highest E belongs to which entry? Pm2Mg12Ag7

=====

What did the first record say?
DFT (PBE) results for a relaxed structure of PmMg6Ag4.

```
PmMg6Ag4
1.0
4.3332 0.0000 0.0000
0.0000 6.8938 -3.9802
0.0000 0.0000 7.9603
Mg Ag Pm
6 4 1
direct
0.0000 0.5336 0.4664
0.0000 0.9328 0.4664
0.5000 0.1997 0.3995
0.5000 0.6005 0.8003
0.0000 0.5336 0.0672
0.5000 0.1997 0.8003
0.5000 0.3989 0.1995
0.5000 0.8005 0.1995
0.5000 0.8005 0.6011
0.0000 0.3333 0.6667
0.0000 0.0000 0.0000
```

Results
* magnetization: 0.00 μB/cell
* space group: No. 187
* E: -2.531 eV per atom
* ΔE_f: -0.19 eV per atom